Density functional theory data (PBE with a Hubbard U) for Ba3FeTc2O9 after structural relaxation.

Calculated values
electronic total energy = -107.630 eV per cell
spin magnetization = 5.56 μB/f.u.
space group = P-3m1

Unit cell a=5.7375 b=5.7375 c=7.0250 alpha=90.00 beta=90.00 gamma=120.00
Last column: nearest neighbours and their distance in Å.
Fractional positions:
1 Ba 0.0000 0.0000 0.0000  12 O 2.86-2.87
2 Ba 0.3333 0.6667 0.6576  12 O 2.83-2.92
3 Ba 0.6667 0.3333 0.3424  12 O 2.83-2.92
4 Fe 0.0000 0.0000 0.5000  6 O 2.07
5 Tc 0.3333 0.6667 0.1608  6 O 2.00-2.01
6 Tc 0.6667 0.3333 0.8392  6 O 2.00-2.01
7 O 0.0000 0.5000 0.0000  2 Tc 2.00
8 O 0.1697 0.3394 0.3282  1 Tc 2.01, 1 Fe 2.07
9 O 0.1697 0.8303 0.3282  1 Tc 2.01, 1 Fe 2.07
10 O 0.3394 0.1697 0.6718  1 Tc 2.01, 1 Fe 2.07
11 O 0.5000 0.0000 0.0000  2 Tc 2.00
12 O 0.5000 0.5000 0.0000  2 Tc 2.00
13 O 0.6606 0.8303 0.3282  1 Tc 2.01, 1 Fe 2.07
14 O 0.8303 0.1697 0.6718  1 Tc 2.01, 1 Fe 2.07
15 O 0.8303 0.6606 0.6718  1 Tc 2.01, 1 Fe 2.07